[1]
DFT (GGA-PBEsol) results for a relaxed DyCdPt2 crystal.

Values from the calculation:
The value obtained for the volume is 74 Å³ per cell. The energy relative to the elements is -0.80 eV per atom. Its space group is Fm-3m. The value obtained for the density of states at the Fermi level is 0.421 states/eV/atom.

Unit cell a=4.7142 b=4.7142 c=4.7142 alpha=60.00 beta=60.00 gamma=60.00
Sites, in units of the cell vectors:
1 Dy 0.0000 0.0000 0.0000
2 Cd 0.5000 0.5000 0.5000
3 Pt 0.2500 0.2500 0.2500
4 Pt 0.7500 0.7500 0.7500

[2]
DFT (GGA-PBEsol) results for a relaxed Dy4CdRh crystal.

Values from the calculation:
The value obtained for the volume is 592 Å³ per cell. The energy relative to the elements is -0.49 eV per atom. Its space group is F-43m. The value obtained for the density of states at the Fermi level is 0.704 states/eV/atom.

Unit cell a=9.4261 b=9.4261 c=9.4261 alpha=60.00 beta=60.00 gamma=60.00
Sites, in units of the cell vectors:
1 Dy 0.0603 0.0603 0.4397
2 Dy 0.0603 0.4397 0.0603
3 Dy 0.0603 0.4397 0.4397
4 Dy 0.1868 0.1868 0.8132
5 Dy 0.1868 0.8132 0.1868
6 Dy 0.1868 0.8132 0.8132
7 Dy 0.1995 0.6002 0.6002
8 Dy 0.4397 0.0603 0.0603
9 Dy 0.4397 0.0603 0.4397
10 Dy 0.4397 0.4397 0.0603
11 Dy 0.6002 0.1995 0.6002
12 Dy 0.6002 0.6002 0.1995
13 Dy 0.6002 0.6002 0.6002
14 Dy 0.8132 0.1868 0.1868
15 Dy 0.8132 0.1868 0.8132
16 Dy 0.8132 0.8132 0.1868
17 Cd 0.5077 0.8308 0.8308
18 Cd 0.8308 0.5077 0.8308
19 Cd 0.8308 0.8308 0.5077
20 Cd 0.8308 0.8308 0.8308
21 Rh 0.3926 0.3926 0.3926
22 Rh 0.3926 0.3926 0.8222
23 Rh 0.3926 0.8222 0.3926
24 Rh 0.8222 0.3926 0.3926

[3]
DFT (GGA-PBEsol) results for a relaxed Dy2CdSe4 crystal.

Values from the calculation:
The value obtained for the volume is 391 Å³ per cell. As for the energy relative to the elements, uncorrected: -1.482 eV/atom. Its space group is Fd-3m.

Unit cell a=8.2089 b=8.2089 c=8.2089 alpha=60.00 beta=60.00 gamma=60.00
Sites, in units of the cell vectors:
1 Dy 0.0000 0.0000 0.0000
2 Dy 0.0000 0.0000 0.5000
3 Dy 0.0000 0.5000 0.0000
4 Dy 0.5000 0.0000 0.0000
5 Cd 0.3750 0.3750 0.3750
6 Cd 0.6250 0.6250 0.6250
7 Se 0.2307 0.7564 0.7564
8 Se 0.2436 0.2436 0.2436
9 Se 0.2436 0.2436 0.7693
10 Se 0.2436 0.7693 0.2436
11 Se 0.7564 0.2307 0.7564
12 Se 0.7564 0.7564 0.2307
13 Se 0.7564 0.7564 0.7564
14 Se 0.7693 0.2436 0.2436

[4]
DFT (GGA-PBEsol) results for a relaxed Dy2CdTe4 crystal.

Values from the calculation:
The value obtained for the volume is 480 Å³ per cell. As for the energy relative to the elements, uncorrected: -1.063 eV/atom. Its space group is Fd-3m. The value obtained for the density of states at the Fermi level is 0.060 states/eV/atom.

Unit cell a=8.7873 b=8.7873 c=8.7873 alpha=60.00 beta=60.00 gamma=60.00
Sites, in units of the cell vectors:
1 Dy 0.0000 0.0000 0.0000
2 Dy 0.0000 0.0000 0.5000
3 Dy 0.0000 0.5000 0.0000
4 Dy 0.5000 0.0000 0.0000
5 Cd 0.3750 0.3750 0.3750
6 Cd 0.6250 0.6250 0.6250
7 Te 0.2338 0.7554 0.7554
8 Te 0.2446 0.2446 0.2446
9 Te 0.2446 0.2446 0.7662
10 Te 0.2446 0.7662 0.2446
11 Te 0.7554 0.2338 0.7554
12 Te 0.7554 0.7554 0.2338
13 Te 0.7554 0.7554 0.7554
14 Te 0.7662 0.2446 0.2446

[5]
DFT (GGA-PBEsol) results for a relaxed Dy2TlCd crystal.

Values from the calculation:
The value obtained for the volume is 101 Å³ per cell. The energy relative to the elements is -0.39 eV per atom. Its space group is Fm-3m. The value obtained for the density of states at the Fermi level is 1.102 states/eV/atom.

Unit cell a=5.2224 b=5.2224 c=5.2224 alpha=60.00 beta=60.00 gamma=60.00
Sites, in units of the cell vectors:
1 Dy 0.2500 0.2500 0.2500
2 Dy 0.7500 0.7500 0.7500
3 Tl 0.0000 0.0000 0.0000
4 Cd 0.5000 0.5000 0.5000

[6]
DFT (GGA-PBEsol) results for a relaxed DyYCd2 crystal.

Values from the calculation:
The value obtained for the volume is 100 Å³ per cell. The energy relative to the elements is -0.36 eV per atom. Its space group is Fm-3m. The value obtained for the density of states at the Fermi level is 1.159 states/eV/atom.

Unit cell a=5.2029 b=5.2029 c=5.2029 alpha=60.00 beta=60.00 gamma=60.00
Sites, in units of the cell vectors:
1 Dy 0.0000 0.0000 0.0000
2 Y 0.5000 0.5000 0.5000
3 Cd 0.2500 0.2500 0.2500
4 Cd 0.7500 0.7500 0.7500

[7]
DFT (GGA-PBEsol) results for a relaxed ErCd3 crystal.

Values from the calculation:
The value obtained for the volume is 86 Å³ per cell. The energy relative to the elements is -0.29 eV per atom. Its space group is Fm-3m. The value obtained for the density of states at the Fermi level is 0.294 states/eV/atom.

Unit cell a=4.9452 b=4.9452 c=4.9452 alpha=60.00 beta=60.00 gamma=60.00
Sites, in units of the cell vectors:
1 Er 0.0000 0.0000 0.0000
2 Cd 0.2500 0.2500 0.2500
3 Cd 0.5000 0.5000 0.5000
4 Cd 0.7500 0.7500 0.7500

[8]
DFT (GGA-PBEsol) results for a relaxed ErCd3 crystal.

Values from the calculation:
The value obtained for the volume is 178 Å³ per cell. The energy relative to the elements is -0.27 eV per atom. Its space group is Cmcm. The value obtained for the density of states at the Fermi level is 0.511 states/eV/atom.

Unit cell a=5.8828 b=5.8828 c=7.1117 alpha=90.00 beta=90.00 gamma=133.68
Sites, in units of the cell vectors:
1 Er 0.0850 0.9150 0.7500
2 Er 0.9150 0.0850 0.2500
3 Cd 0.2041 0.7959 0.2500
4 Cd 0.3758 0.6242 0.5493
5 Cd 0.3758 0.6242 0.9507
6 Cd 0.6242 0.3758 0.0493
7 Cd 0.6242 0.3758 0.4507
8 Cd 0.7959 0.2041 0.7500

[9]
DFT (GGA-PBEsol) results for a relaxed ErCdGa crystal.

Values from the calculation:
The value obtained for the volume is 187 Å³ per cell. The energy relative to the elements is -0.55 eV per atom. Its space group is P-62m. The value obtained for the density of states at the Fermi level is 0.121 states/eV/atom.

Unit cell a=7.0765 b=7.0765 c=4.3018 alpha=90.00 beta=90.00 gamma=120.00
Sites, in units of the cell vectors:
1 Er 0.0000 0.5751 0.0000
2 Er 0.4249 0.4249 0.0000
3 Er 0.5751 0.0000 0.0000
4 Cd 0.0000 0.2492 0.5000
5 Cd 0.2492 0.0000 0.5000
6 Cd 0.7508 0.7508 0.5000
7 Ga 0.0000 0.0000 0.0000
8 Ga 0.3333 0.6667 0.5000
9 Ga 0.6667 0.3333 0.5000

[10]
DFT (GGA-PBEsol) results for a relaxed Er2CdGe2 crystal.

Values from the calculation:
The value obtained for the volume is 209 Å³ per cell. The energy relative to the elements is -0.77 eV per atom. Its space group is P4/mbm. The value obtained for the density of states at the Fermi level is 0.309 states/eV/atom.

Unit cell a=7.1444 b=7.1444 c=4.0949 alpha=90.00 beta=90.00 gamma=90.00
Sites, in units of the cell vectors:
1 Er 0.1773 0.3227 0.0000
2 Er 0.3227 0.8227 0.0000
3 Er 0.6773 0.1773 0.0000
4 Er 0.8227 0.6773 0.0000
5 Cd 0.0000 0.0000 0.5000
6 Cd 0.5000 0.5000 0.5000
7 Ge 0.1230 0.6230 0.5000
8 Ge 0.3770 0.1230 0.5000
9 Ge 0.6230 0.8770 0.5000
10 Ge 0.8770 0.3770 0.5000

[11]
DFT (GGA-PBEsol) results for a relaxed Er2CdIn crystal.

Values from the calculation:
The value obtained for the volume is 97 Å³ per cell. The energy relative to the elements is -0.44 eV per atom. Its space group is Fm-3m. The value obtained for the density of states at the Fermi level is 0.849 states/eV/atom.

Unit cell a=5.1632 b=5.1632 c=5.1632 alpha=60.00 beta=60.00 gamma=60.00
Sites, in units of the cell vectors:
1 Er 0.2500 0.2500 0.2500
2 Er 0.7500 0.7500 0.7500
3 Cd 0.0000 0.0000 0.0000
4 In 0.5000 0.5000 0.5000

[12]
DFT (GGA-PBEsol) results for a relaxed ErCdIn crystal.

Values from the calculation:
The value obtained for the volume is 142 Å³ per cell. The energy relative to the elements is -0.41 eV per atom. Its space group is P-3m1. The value obtained for the density of states at the Fermi level is 0.299 states/eV/atom.

Unit cell a=4.7543 b=4.7543 c=7.2574 alpha=90.00 beta=90.00 gamma=120.00
Sites, in units of the cell vectors:
1 Er 0.0000 0.0000 0.2373
2 Er 0.0000 0.0000 0.7627
3 Cd 0.3333 0.6667 0.9727
4 Cd 0.6667 0.3333 0.0273
5 In 0.3333 0.6667 0.5543
6 In 0.6667 0.3333 0.4457

Copy entry 3 word for word.
DFT (GGA-PBEsol) results for a relaxed Dy2CdSe4 crystal.

Values from the calculation:
The value obtained for the volume is 391 Å³ per cell. As for the energy relative to the elements, uncorrected: -1.482 eV/atom. Its space group is Fd-3m.

Unit cell a=8.2089 b=8.2089 c=8.2089 alpha=60.00 beta=60.00 gamma=60.00
Sites, in units of the cell vectors:
1 Dy 0.0000 0.0000 0.0000
2 Dy 0.0000 0.0000 0.5000
3 Dy 0.0000 0.5000 0.0000
4 Dy 0.5000 0.0000 0.0000
5 Cd 0.3750 0.3750 0.3750
6 Cd 0.6250 0.6250 0.6250
7 Se 0.2307 0.7564 0.7564
8 Se 0.2436 0.2436 0.2436
9 Se 0.2436 0.2436 0.7693
10 Se 0.2436 0.7693 0.2436
11 Se 0.7564 0.2307 0.7564
12 Se 0.7564 0.7564 0.2307
13 Se 0.7564 0.7564 0.7564
14 Se 0.7693 0.2436 0.2436